Entry 1:
! PBE-GGA PrZnPdAu, relaxed; values from VASP
&SYSTEM
  ibrav = 0, nat = 4, ntyp = 4
/
ATOMIC_SPECIES
Pd 106.42 Pd.upf
Zn 65.41 Zn.upf
Au 196.97 Au.upf
Pr 140.91 Pr.upf
ATOMIC_POSITIONS crystal
Pd 0.406 0.811 0.859
Zn 0.108 0.215 0.965
Au 0.834 0.668 0.143
Pr 0.619 0.239 0.500
CELL_PARAMETERS angstrom
-2.835 3.486 -0.608
-1.529 -3.893 1.720
2.953 3.010 3.490
! **Energy relative to the lowest polymorph listed for this composition**: 0 meV per atom

=====

Entry 2:
Pd2Pt7Au: relaxed, PBE-GGA. Values from VASP.

Quantum ESPRESSO input file:
```
&SYSTEM
  ibrav = 0, nat = 10, ntyp = 3
/
ATOMIC_SPECIES
Pt 195.08 Pt.upf
Pd 106.42 Pd.upf
Au 196.97 Au.upf
ATOMIC_POSITIONS crystal
Pt 0.500 0.294 0.085
Pt 0.000 0.807 0.193
Pd 0.500 0.310 0.690
Pt 0.000 0.193 0.807
Pt 0.500 0.085 0.294
Au 0.000 0.000 0.000
Pt 0.500 0.706 0.915
Pt 0.500 0.500 0.500
Pt 0.500 0.915 0.706
Pd 0.500 0.690 0.310
CELL_PARAMETERS angstrom
3.916 0.000 0.000
0.000 7.853 -0.631
0.000 -4.030 6.769
```

=====

Entry 3:
! PBE-GGA Pd8PtAu3, relaxed; values from VASP
&SYSTEM
  ibrav = 0, nat = 12, ntyp = 3
/
ATOMIC_SPECIES
Pd 106.42 Pd.upf
Au 196.97 Au.upf
Pt 195.08 Pt.upf
ATOMIC_POSITIONS crystal
Pd 0.288 0.376 0.462
Pd 0.962 0.369 0.788
Pd 0.543 0.119 0.707
Au 0.876 0.124 0.376
Pd 0.209 0.120 0.041
Pd 0.041 0.625 0.208
Au 0.625 0.372 0.125
Pd 0.793 0.874 0.956
Pd 0.456 0.871 0.294
Pt 0.125 0.872 0.625
Au 0.374 0.621 0.874
Pd 0.707 0.625 0.542
CELL_PARAMETERS angstrom
-2.829 3.713 1.478
-3.116 -2.449 2.883
3.247 2.843 7.337
! **Energy relative to the lowest polymorph listed for this composition**: 0 meV per atom

=====

Entry 4:
Pd7Pt6Au16: relaxed, PBE-GGA. Values from VASP.

Quantum ESPRESSO input file:
```
&SYSTEM
  ibrav = 0, nat = 29, ntyp = 3
/
ATOMIC_SPECIES
Au 196.97 Au.upf
Pd 106.42 Pd.upf
Pt 195.08 Pt.upf
ATOMIC_POSITIONS crystal
Au 0.345 0.345 0.345
Au 0.120 0.120 0.120
Pd 0.500 0.500 0.000
Au 0.655 0.655 0.035
Au 0.345 0.965 0.345
Pt 0.660 0.340 0.660
Pd 0.000 0.000 0.500
Au 0.345 0.345 0.965
Au 0.120 0.639 0.120
Pd 0.000 0.000 0.000
Au 0.120 0.120 0.639
Pd 0.000 0.500 0.000
Au 0.655 0.655 0.655
Au 0.361 0.880 0.880
Pt 0.340 0.660 0.340
Pt 0.660 0.340 0.340
Au 0.880 0.361 0.880
Au 0.639 0.120 0.120
Pd 0.500 0.000 0.500
Au 0.035 0.655 0.655
Pt 0.340 0.340 0.660
Au 0.655 0.035 0.655
Pd 0.500 0.000 0.000
Pt 0.660 0.660 0.340
Au 0.880 0.880 0.361
Pt 0.340 0.660 0.660
Au 0.965 0.345 0.345
Au 0.880 0.880 0.880
Pd 0.000 0.500 0.500
CELL_PARAMETERS angstrom
-6.149 -3.347 -5.779
0.168 -8.803 -2.211
-6.509 -5.562 3.017
```

=====

Entry 5:
! PBE-GGA PdPt2Au8, relaxed; values from VASP
&SYSTEM
  ibrav = 0, nat = 11, ntyp = 3
/
ATOMIC_SPECIES
Au 196.97 Au.upf
Pt 195.08 Pt.upf
Pd 106.42 Pd.upf
ATOMIC_POSITIONS crystal
Au 0.500 0.778 0.444
Au 0.670 0.598 0.000
Au 0.330 0.402 0.000
Pt 0.000 0.693 0.614
Au 0.909 0.093 0.227
Au 0.091 0.907 0.773
Au 0.500 0.222 0.556
Pt 0.000 0.307 0.386
Au 0.091 0.679 0.227
Au 0.909 0.321 0.773
Pd 0.500 0.000 0.000
CELL_PARAMETERS angstrom
-2.249 -4.200 2.183
2.280 -3.910 6.376
-2.425 1.820 6.778
! **Energy relative to the lowest polymorph listed for this composition**: 161 meV per atom

=====

Entry 6:
! PBE-GGA PdPtAu, relaxed; values from VASP
&SYSTEM
  ibrav = 0, nat = 3, ntyp = 3
/
ATOMIC_SPECIES
Pd 106.42 Pd.upf
Au 196.97 Au.upf
Pt 195.08 Pt.upf
ATOMIC_POSITIONS crystal
Pd 0.000 0.000 0.337
Au 0.333 0.667 0.003
Pt 0.667 0.333 0.660
CELL_PARAMETERS angstrom
2.834 0.000 0.000
-1.417 2.454 0.000
0.000 0.000 7.031
! **Energy relative to the lowest polymorph listed for this composition**: 6 meV per atom

=====

Entry 7:
! PBE-GGA PdPt3Au, relaxed; values from VASP
&SYSTEM
  ibrav = 0, nat = 10, ntyp = 3
/
ATOMIC_SPECIES
Pt 195.08 Pt.upf
Au 196.97 Au.upf
Pd 106.42 Pd.upf
ATOMIC_POSITIONS crystal
Pt 0.368 0.265 0.017
Au 0.434 0.132 0.383
Pd 0.768 0.464 0.211
Pt 0.174 0.652 0.411
Pt 0.036 0.928 0.181
Pd 0.232 0.536 0.789
Pt 0.632 0.735 0.983
Pt 0.964 0.072 0.819
Pt 0.826 0.348 0.589
Au 0.566 0.868 0.617
CELL_PARAMETERS angstrom
2.773 0.000 0.000
1.386 5.406 0.386
-0.001 -0.240 10.722
! **Energy relative to the lowest polymorph listed for this composition**: 5 meV per atom

=====

Entry 8:
Pd5Pt5Au2: relaxed, PBE-GGA. Values from VASP.

Quantum ESPRESSO input file:
```
&SYSTEM
  ibrav = 0, nat = 12, ntyp = 3
/
ATOMIC_SPECIES
Pt 195.08 Pt.upf
Pd 106.42 Pd.upf
Au 196.97 Au.upf
ATOMIC_POSITIONS crystal
Pt 0.334 0.328 0.000
Pt 0.500 0.500 0.500
Pt 0.582 0.086 0.750
Pd 0.251 0.748 0.750
Pd 0.000 0.000 0.000
Au 0.917 0.418 0.749
Pd 0.832 0.839 0.500
Pd 0.749 0.252 0.250
Pt 0.666 0.672 0.000
Pd 0.168 0.161 0.500
Au 0.083 0.582 0.251
Pt 0.418 0.914 0.250
CELL_PARAMETERS angstrom
-3.471 -0.457 -3.417
-3.907 -2.826 0.833
-9.200 5.795 0.507
```

=====

Entry 9:
! PBE-GGA Pd8Pt5Au, relaxed; values from VASP
&SYSTEM
  ibrav = 0, nat = 14, ntyp = 3
/
ATOMIC_SPECIES
Pt 195.08 Pt.upf
Pd 106.42 Pd.upf
Au 196.97 Au.upf
ATOMIC_POSITIONS crystal
Pt 0.032 0.315 0.117
Pd 0.360 0.288 0.429
Au 0.250 0.500 0.750
Pd 0.524 0.602 0.254
Pd 0.928 0.068 0.640
Pd 0.746 0.270 0.348
Pt 0.282 0.085 0.968
Pd 0.652 0.398 0.922
Pd 0.571 0.932 0.860
Pd 0.078 0.730 0.476
Pt 0.500 0.000 0.500
Pd 0.140 0.712 0.072
Pt 0.802 0.685 0.718
Pt 0.883 0.915 0.198
CELL_PARAMETERS angstrom
6.722 -0.039 0.068
-2.311 6.312 -0.068
-2.099 -3.211 5.520
! **Energy relative to the lowest polymorph listed for this composition**: 0 meV per atom

=====

Entry 10:
Pd2Pt9Au: relaxed, PBE-GGA. Values from VASP.

Quantum ESPRESSO input file:
```
&SYSTEM
  ibrav = 0, nat = 12, ntyp = 3
/
ATOMIC_SPECIES
Pt 195.08 Pt.upf
Pd 106.42 Pd.upf
Au 196.97 Au.upf
ATOMIC_POSITIONS crystal
Pt 0.500 0.500 0.000
Pt 0.500 0.500 0.335
Pt 0.500 0.000 0.171
Pt 0.000 0.500 0.500
Pd 0.000 0.000 0.665
Pt 0.000 0.500 0.829
Pd 0.000 0.000 0.335
Pt 0.500 0.000 0.500
Pt 0.500 0.000 0.829
Pt 0.000 0.500 0.171
Pt 0.500 0.500 0.665
Au 0.000 0.000 0.000
CELL_PARAMETERS angstrom
3.982 0.000 0.000
0.000 3.982 0.000
0.000 0.000 11.941
```

=====

Entry 11:
PdPt2Au9: relaxed, PBE-GGA. Values from VASP.

Quantum ESPRESSO input file:
```
&SYSTEM
  ibrav = 0, nat = 12, ntyp = 3
/
ATOMIC_SPECIES
Pt 195.08 Pt.upf
Au 196.97 Au.upf
Pd 106.42 Pd.upf
ATOMIC_POSITIONS crystal
Pt 0.000 0.000 0.666
Au 0.000 0.500 0.834
Au 0.000 0.500 0.166
Au 0.500 0.000 0.834
Au 0.500 0.000 0.500
Au 0.500 0.500 0.000
Au 0.500 0.500 0.333
Pt 0.000 0.000 0.334
Au 0.000 0.500 0.500
Au 0.500 0.000 0.166
Au 0.500 0.500 0.667
Pd 0.000 0.000 0.000
CELL_PARAMETERS angstrom
-3.542 -1.711 -1.170
1.292 -3.634 1.403
-4.879 2.535 11.063
```

=====

Entry 12:
Pd8Pt3Au2: relaxed, PBE-GGA. Values from VASP.

Quantum ESPRESSO input file:
```
&SYSTEM
  ibrav = 0, nat = 13, ntyp = 3
/
ATOMIC_SPECIES
Pd 106.42 Pd.upf
Pt 195.08 Pt.upf
Au 196.97 Au.upf
ATOMIC_POSITIONS crystal
Pd 0.000 0.095 0.316
Pt 0.500 0.000 0.000
Pd 0.000 0.455 0.839
Pd 0.500 0.309 0.218
Au 0.500 0.376 0.542
Pt 0.000 0.781 0.074
Au 0.500 0.624 0.458
Pt 0.000 0.219 0.926
Pd 0.000 0.905 0.684
Pd 0.500 0.691 0.782
Pd 0.000 0.545 0.161
Pd 0.500 0.144 0.635
Pd 0.500 0.856 0.365
CELL_PARAMETERS angstrom
2.738 0.000 0.000
0.000 8.318 -4.463
0.000 0.133 9.174
```

=====

Entry 13:
! PBE-GGA Pd8PtAu6, relaxed; values from VASP
&SYSTEM
  ibrav = 0, nat = 15, ntyp = 3
/
ATOMIC_SPECIES
Au 196.97 Au.upf
Pd 106.42 Pd.upf
Pt 195.08 Pt.upf
ATOMIC_POSITIONS crystal
Au 0.696 0.457 0.356
Au 0.304 0.356 0.899
Au 0.696 0.644 0.101
Pd 0.791 0.333 0.667
Au 0.304 0.543 0.644
Pd 0.182 0.280 0.229
Pd 0.818 0.720 0.771
Au 0.304 0.101 0.457
Pd 0.182 0.950 0.720
Pd 0.182 0.771 0.050
Pd 0.818 0.050 0.280
Pd 0.209 0.667 0.333
Au 0.696 0.899 0.543
Pd 0.818 0.229 0.950
Pt 0.500 0.000 0.000
CELL_PARAMETERS angstrom
-0.535 -4.380 2.693
-5.831 -2.029 -4.458
7.102 -2.016 -1.868
! **Energy relative to the lowest polymorph listed for this composition**: 0 meV per atom

=====

Entry 14:
! PBE-GGA Pd8Pt2Au, relaxed; values from VASP
&SYSTEM
  ibrav = 0, nat = 11, ntyp = 3
/
ATOMIC_SPECIES
Pd 106.42 Pd.upf
Pt 195.08 Pt.upf
Au 196.97 Au.upf
ATOMIC_POSITIONS crystal
Pd 0.183 0.909 0.603
Pd 0.816 0.091 0.336
Pt 0.726 0.635 0.516
Pd 0.908 0.543 0.153
Pd 0.362 0.816 0.246
Pd 0.453 0.275 0.062
Pd 0.546 0.725 0.878
Pd 0.091 0.458 0.786
Au 0.000 0.000 0.970
Pd 0.637 0.185 0.694
Pt 0.273 0.366 0.423
CELL_PARAMETERS angstrom
-1.274 -0.755 3.684
1.787 -5.998 -0.611
6.131 -0.597 4.137
! **Energy relative to the lowest polymorph listed for this composition**: 0 meV per atom

=====

Entry 15:
! PBE-GGA PdPtAu, relaxed; values from VASP
&SYSTEM
  ibrav = 0, nat = 6, ntyp = 3
/
ATOMIC_SPECIES
Pt 195.08 Pt.upf
Au 196.97 Au.upf
Pd 106.42 Pd.upf
ATOMIC_POSITIONS crystal
Pt 0.500 0.500 0.500
Au 0.500 0.000 0.820
Pd 0.000 0.500 0.792
Pt 0.000 0.000 0.500
Pd 0.500 0.000 0.208
Au 0.000 0.500 0.180
CELL_PARAMETERS angstrom
-0.162 3.745 1.005
-3.868 -0.086 -0.304
-0.483 -1.807 6.654
! **Energy relative to the lowest polymorph listed for this composition**: 150 meV per atom

=====

Entry 16:
Pd3Pt4Au2: relaxed, PBE-GGA. Values from VASP.

Quantum ESPRESSO input file:
```
&SYSTEM
  ibrav = 0, nat = 9, ntyp = 3
/
ATOMIC_SPECIES
Pt 195.08 Pt.upf
Pd 106.42 Pd.upf
Au 196.97 Au.upf
ATOMIC_POSITIONS crystal
Pt 0.667 0.333 0.219
Pt 0.667 0.333 0.434
Pd 0.667 0.333 0.650
Pt 0.000 0.000 0.757
Pd 0.000 0.000 0.982
Au 0.667 0.333 0.871
Pd 0.000 0.000 0.327
Au 0.667 0.333 0.093
Pt 0.000 0.000 0.543
CELL_PARAMETERS angstrom
-0.074 -2.610 -0.958
0.160 0.473 2.736
-21.790 0.159 1.247
```

=====

Entry 17:
Pd4Pt5Au2: relaxed, PBE-GGA. Values from VASP.

Quantum ESPRESSO input file:
```
&SYSTEM
  ibrav = 0, nat = 11, ntyp = 3
/
ATOMIC_SPECIES
Pt 195.08 Pt.upf
Pd 106.42 Pd.upf
Au 196.97 Au.upf
ATOMIC_POSITIONS crystal
Pt 0.814 0.101 0.629
Pd 0.044 0.741 0.088
Pd 0.132 0.195 0.263
Pd 0.956 0.259 0.912
Au 0.588 0.474 0.176
Pd 0.868 0.805 0.737
Pt 0.270 0.369 0.540
Pt 0.186 0.899 0.371
Pt 0.500 0.000 0.000
Pt 0.730 0.631 0.460
Au 0.412 0.526 0.824
CELL_PARAMETERS angstrom
-0.151 0.431 -2.715
-4.529 -4.947 -0.532
-3.316 10.263 3.208
```

=====

Entry 18:
Pd4Pt5Au: relaxed, PBE-GGA. Values from VASP.

Quantum ESPRESSO input file:
```
&SYSTEM
  ibrav = 0, nat = 10, ntyp = 3
/
ATOMIC_SPECIES
Pd 106.42 Pd.upf
Au 196.97 Au.upf
Pt 195.08 Pt.upf
ATOMIC_POSITIONS crystal
Pd 0.977 0.228 0.954
Au 0.500 0.000 0.000
Pd 0.679 0.928 0.357
Pt 0.178 0.237 0.357
Pt 0.822 0.763 0.643
Pt 0.828 0.384 0.656
Pd 0.023 0.772 0.046
Pt 0.500 0.500 0.000
Pt 0.172 0.616 0.344
Pd 0.321 0.072 0.643
CELL_PARAMETERS angstrom
3.959 0.000 -0.959
-0.646 6.450 -2.666
-0.383 -0.964 7.070
```

=====

Entry 19:
! PBE-GGA Pd4PtAu3, relaxed; values from VASP
&SYSTEM
  ibrav = 0, nat = 8, ntyp = 3
/
ATOMIC_SPECIES
Pd 106.42 Pd.upf
Pt 195.08 Pt.upf
Au 196.97 Au.upf
ATOMIC_POSITIONS crystal
Pd 0.080 0.262 0.342
Pt 0.387 0.500 0.887
Au 0.705 0.743 0.448
Pd 0.080 0.738 0.818
Pd 0.697 0.792 0.905
Pd 0.113 0.208 0.905
Au 0.385 0.000 0.385
Au 0.705 0.257 0.961
CELL_PARAMETERS angstrom
-5.938 -0.061 2.157
-1.680 -0.122 -6.089
3.252 -4.332 3.252
! **Energy relative to the lowest polymorph listed for this composition**: 526 meV per atom

=====

Entry 20:
! PBE-GGA Pd5PtAu, relaxed; values from VASP
&SYSTEM
  ibrav = 0, nat = 7, ntyp = 3
/
ATOMIC_SPECIES
Pd 106.42 Pd.upf
Pt 195.08 Pt.upf
Au 196.97 Au.upf
ATOMIC_POSITIONS crystal
Pd 0.500 0.000 0.271
Pt 0.000 0.000 0.500
Pd 0.500 0.500 0.000
Au 0.000 0.000 0.000
Pd 0.000 0.500 0.271
Pd 0.500 0.000 0.729
Pd 0.000 0.500 0.729
CELL_PARAMETERS angstrom
-2.228 0.426 -3.216
-3.238 -0.046 2.237
0.400 7.620 0.733
! **Energy relative to the lowest polymorph listed for this composition**: 0 meV per atom

=====

Entry 21:
! PBE-GGA Pd4PtAu3, relaxed; values from VASP
&SYSTEM
  ibrav = 0, nat = 8, ntyp = 3
/
ATOMIC_SPECIES
Au 196.97 Au.upf
Pd 106.42 Pd.upf
Pt 195.08 Pt.upf
ATOMIC_POSITIONS crystal
Au 0.750 0.250 0.500
Au 0.250 0.750 0.500
Pd 0.623 0.623 0.245
Au 0.000 0.500 0.000
Pd 0.877 0.877 0.755
Pd 0.123 0.123 0.245
Pt 0.500 0.000 0.000
Pd 0.377 0.377 0.755
CELL_PARAMETERS angstrom
3.889 0.003 -1.052
-0.275 3.884 -1.033
0.218 0.192 8.549
! **Energy relative to the lowest polymorph listed for this composition**: 0 meV per atom

=====

DFT formation energy (computed, meV per atom): -662.8; 546.4; -30.1; 255.2; 157.6; -5.2; 47.6; -2.6; 191.2; -1.4; 3.1; 50.6; 136.2; -20.2; 139.5; 35.8; 56.5; 161.1; 487.5; 111.1; -38.1
Calculated density (computed, g cm⁻³): 9.92; 14.87; 14.13; 15.91; 16.88; 16.93; 18.33; 16.57; 14.38; 19.00; 18.11; 14.44; 14.25; 13.89; 15.90; 16.96; 16.62; 15.85; 11.41; 12.92; 15.38